# CaReBr, PBEsol geometry, DFT meta-GGA SCAN
data_CaReBr
_chemical_formula_sum 'Ca4 Re4 Br4'
_symmetry_space_group_name_H-M 'F -4 3 m'
_symmetry_Int_Tables_number 216
_symmetry_space_group_name_Hall 'F -4 2 3'
_cell_length_a 6.3970
_cell_length_b 6.3970
_cell_length_c 6.3970
_cell_angle_alpha 90.00
_cell_angle_beta 90.00
_cell_angle_gamma 90.00
loop_
_atom_site_label
_atom_site_fract_x
_atom_site_fract_y
_atom_site_fract_z
Ca1 0.0000 0.0000 0.0000
Re1 0.0000 0.0000 0.5000
Br1 0.2500 0.2500 0.2500
# size of the total moment	2.1	μB per formula unit
# crystal system	cubic

***

# CaZrRe2Br, PBEsol geometry, DFT meta-GGA SCAN
data_CaZrRe2Br
_chemical_formula_sum 'Ca1 Zr1 Re2 Br1'
_symmetry_space_group_name_H-M 'P 4/m m m'
_symmetry_Int_Tables_number 123
_symmetry_space_group_name_Hall '-P 4 2'
_cell_length_a 4.7176
_cell_length_b 4.7176
_cell_length_c 6.4233
_cell_angle_alpha 90.00
_cell_angle_beta 90.00
_cell_angle_gamma 90.00
loop_
_atom_site_label
_atom_site_fract_x
_atom_site_fract_y
_atom_site_fract_z
Ca1 0.0000 0.0000 0.0000
Zr1 0.0000 0.0000 0.5000
Re1 0.0000 0.5000 0.5000
Br1 0.5000 0.5000 0.0000
# size of the total moment	2.5	μB per formula unit
# crystal system	tetragonal

***

no.,V (Å³ per cell),formation energy without anion corrections (eV/f.u.),energy (hartree per atom)
1,261.8,3.427,-1.186
2,143.0,8.192,-1.425